[1]
A plane-wave DFT calculation with GGA-PBEsol was carried out for K2FePb after structural relaxation.

Lattice parameters (Å, degrees): 3.2663 3.2663 11.0516 90.00 90.00 90.00
Last column: nearest neighbours and their distance in Å.
Positions (direct):
Fe 0.5000 0.5000 0.5000  4 Fe 3.27, 8 K 3.46
K 0.0000 0.0000 0.7336  4 K 3.27, 4 Fe 3.46
K 0.0000 0.0000 0.2664  4 K 3.27, 4 Fe 3.46
Pb 0.5000 0.5000 0.0000  4 Pb 3.27

* formation energy from the elements: 804 meV per atom
* magnetization: 2.87 μB per formula unit

***

[2]
A plane-wave DFT calculation with GGA-PBEsol was carried out for K2FePb after structural relaxation.

Lattice parameters (Å, degrees): 3.4669 5.6204 5.9256 90.00 92.95 90.00
Last column: nearest neighbours and their distance in Å.
Positions (direct):
Fe 0.5000 0.5000 0.5000  2 Pb 2.96
K 0.9696 0.0000 0.7463  2 K 2.94-3.00
K 0.0304 0.0000 0.2537  2 K 2.94-3.00
Pb 0.5000 0.5000 0.0000  2 Fe 2.96

* formation energy from the elements: 734 meV per atom
* magnetization: 3.01 μB per formula unit

***

[3]
A plane-wave DFT calculation with GGA-PBEsol was carried out for KFe2Pb after structural relaxation.

Lattice parameters (Å, degrees): 2.8858 5.7893 5.7893 114.43 102.08 102.08
Last column: nearest neighbours and their distance in Å.
Positions (direct):
Fe 0.0000 0.0000 0.5000  4 Fe 2.89-3.14, 2 Pb 2.95, 2 K 2.95
Fe 0.0000 0.5000 0.0000  4 Fe 2.89-3.14, 2 K 2.95, 2 Pb 2.95
K 0.5000 0.5000 0.5000  2 K 2.89, 4 Fe 2.95, 2 Pb 3.14
Pb 0.5000 0.0000 0.0000  2 Pb 2.89, 4 Fe 2.95, 2 K 3.14

* formation energy from the elements: 1171 meV per atom
* E above lowest polymorph: 690 meV per atom
* magnetization: 5.61 μB per formula unit

***

[4]
A plane-wave DFT calculation with GGA-PBEsol was carried out for KFe2Pb after structural relaxation.

Lattice parameters (Å, degrees): 3.2004 3.2004 8.1667 90.00 90.00 90.00
Last column: nearest neighbours and their distance in Å.
Positions (direct):
Fe 0.0000 0.0000 0.0492  4 Fe 2.43
Fe 0.5000 0.5000 0.1562  4 Fe 2.43
K 0.0000 0.0000 0.4753  4 K 3.20, 5 Fe 3.45-3.48
Pb 0.5000 0.5000 0.8194  5 Fe 2.75-2.94

* formation energy from the elements: 481 meV per atom
* E above lowest polymorph: 0 meV per atom
* magnetization: 5.21 μB per formula unit

***

[5]
A plane-wave DFT calculation with GGA-PBEsol was carried out for KFePb2 after structural relaxation.

Lattice parameters (Å, degrees): 3.5664 3.5664 9.7247 79.43 79.43 60.00
Last column: nearest neighbours and their distance in Å.
Positions (direct):
Fe 0.5000 0.5000 0.5000  6 Pb 2.75
K 0.0000 0.0000 0.0000  6 K 3.57, 6 Pb 3.58
Pb 0.2307 0.2307 0.3080  3 Fe 2.75
Pb 0.7693 0.7693 0.6920  3 Fe 2.75

* formation energy from the elements: 328 meV per atom
* magnetization: 2.23 μB per formula unit

***

[6]
A plane-wave DFT calculation with GGA-PBEsol was carried out for KFe2Pb after structural relaxation.

Lattice parameters (Å, degrees): 3.0763 3.0763 10.3888 81.49 81.49 60.00
Last column: nearest neighbours and their distance in Å.
Positions (direct):
Fe 0.2601 0.2601 0.2196  3 Pb 2.86, 6 Fe 3.08
Fe 0.7399 0.7399 0.7804  3 Pb 2.86, 6 Fe 3.08
K 0.5000 0.5000 0.5000  6 K 3.08, 6 Fe 3.38
Pb 0.0000 0.0000 0.0000  6 Fe 2.86, 6 Pb 3.08

* formation energy from the elements: 1140 meV per atom
* E above lowest polymorph: 659 meV per atom
* magnetization: 5.33 μB per formula unit

***

[7]
A plane-wave DFT calculation with GGA-PBEsol was carried out for KFePb2 after structural relaxation.

Lattice parameters (Å, degrees): 3.7118 3.7118 8.4111 90.00 90.00 90.00
Last column: nearest neighbours and their distance in Å.
Positions (direct):
Fe 0.0000 0.0000 0.3671  5 Pb 2.64-2.65
K 0.5000 0.5000 0.7434  5 Pb 3.41-3.69, 4 K 3.71
Pb 0.0000 0.0000 0.0515  1 Fe 2.65
Pb 0.5000 0.5000 0.3380  4 Fe 2.64

* formation energy from the elements: 421 meV per atom
* magnetization: 2.24 μB per formula unit

***

[8]
A plane-wave DFT calculation with GGA-PBEsol was carried out for KFe2Pt after structural relaxation.

Lattice parameters (Å, degrees): 4.0269 4.0269 4.9499 114.00 114.00 90.00
Last column: nearest neighbours and their distance in Å.
Positions (direct):
Fe 0.0000 0.0000 0.0000  4 K 2.85, 4 Fe 2.86, 4 Pt 2.86
Fe 0.7500 0.2500 0.5000  4 Pt 2.85, 4 Fe 2.86, 4 K 2.86
K 0.5000 0.5000 0.0000  8 Fe 2.85-2.86, 4 Pt 2.86
Pt 0.2500 0.7500 0.5000  8 Fe 2.85-2.86, 4 K 2.86

* formation energy from the elements: 1072 meV per atom
* magnetization: 6.16 μB per formula unit

***

Question: What is the magnetization in the seventh record?
Answer: 2.24 μB per formula unit